This record from Alexandria describes ThZrPa4 after structural relaxation. The functional is GGA-PBE.

abc: 6.042 6.042 6.042
angles: 60.00 60.00 60.00
Fractional positions:
Pa 0.625 0.124 0.625
Pa 0.124 0.625 0.625
Pa 0.625 0.625 0.124
Pa 0.625 0.625 0.625
Zr 0.000 0.000 0.000
Th 0.250 0.250 0.250

Properties
The value obtained for the magnetization is 0.0 μB per cell. The calculated formation energy comes out at 4.4 kcal/mol of atoms. The space group is F-43m, No. 216. The calculation puts the calculated volume at 156 Å³ per cell.



This record from Alexandria describes La2Sm3Dy5 after structural relaxation. The functional is GGA-PBE.

abc: 6.845 12.383 12.383
angles: 45.33 73.96 73.96
Fractional positions:
Dy 0.126 0.458 0.291
Dy 0.626 0.291 0.458
Dy 0.374 0.709 0.542
Dy 0.999 0.251 0.251
Dy 0.499 0.251 0.251
Dy 0.001 0.749 0.749
Dy 0.501 0.749 0.749
Dy 0.750 0.500 0.500
Dy 0.874 0.542 0.709
Dy 0.250 0.500 0.500
La 0.624 0.987 0.765
La 0.376 0.013 0.235
La 0.876 0.235 0.013
La 0.124 0.765 0.987
Sm 0.129 0.122 0.620
Sm 0.371 0.380 0.878
Sm 0.871 0.878 0.380
Sm 0.629 0.620 0.122
Sm 0.250 0.000 0.000
Sm 0.750 0.000 0.000

Properties
The energy above the most stable polymorph in this dataset comes out at 4.72 kcal/mol of atoms. The value obtained for the magnetization is 0.0 μB per cell. The calculated formation energy comes out at 8.9 kcal/mol of atoms. The space group is Ibam, No. 72. The calculation puts the calculated volume at 712 Å³ per cell.



This record from Alexandria describes BaUCuSe3 after structural relaxation. The functional is GGA-PBE.

abc: 4.160 8.956 9.332
angles: 106.25 90.00 90.00
Site moments in Bohr magnetons follow the coordinates.
Fractional positions:
Se 0.750 0.448 0.169  -0.05
Se 0.250 0.552 0.831  -0.05
Se 0.250 0.789 0.476  -0.02
Se 0.250 0.107 0.862  -0.04
Se 0.750 0.211 0.524  -0.02
Se 0.750 0.893 0.138  -0.04
Cu 0.250 0.082 0.589  -0.01
Cu 0.750 0.918 0.411  -0.01
U 0.250 0.671 0.156  2.67
U 0.750 0.329 0.844  2.67
Ba 0.250 0.192 0.242  0.02
Ba 0.750 0.808 0.758  0.02

Properties
The value obtained for the magnetization is 5.9 μB per cell. The space group is P2_1/m, No. 11. The calculation puts the calculated volume at 334 Å³ per cell. The total energy comes out at -5.837 eV/atom.



This record from Alexandria describes CaSmCdPb after structural relaxation. The functional is GGA-PBE.

abc: 4.195 5.166 5.325
angles: 90.00 90.00 90.00
Fractional positions:
Sm 0.000 0.500 0.500
Cd 0.500 0.500 0.000
Pb 0.500 0.000 0.500
Ca 0.000 0.000 0.000

Properties
The energy above the most stable polymorph in this dataset comes out at 0.00 kcal/mol of atoms. The value obtained for the magnetization is 0.0 μB per cell. The calculated formation energy comes out at -10.3 kcal/mol of atoms. The space group is Pmmm, No. 47. The calculation puts the calculated volume at 115 Å³ per cell.



This record from Alexandria describes FeIr2Se after structural relaxation. The functional is GGA-PBE.

abc: 2.924 3.545 5.711
angles: 90.00 90.00 90.00
Site moments in Bohr magnetons follow the coordinates.
Fractional positions:
Fe 0.500 0.500 0.750  3.00
Ir 0.000 0.000 0.985  0.27
Ir 0.000 0.000 0.515  0.27
Se 0.500 0.500 0.250  -0.01

Properties
The value obtained for the magnetization is 3.6 μB per cell. The space group is Pmmm, No. 47. The calculation puts the calculated volume at 59 Å³ per cell. The total energy comes out at -7.133 eV/atom.



This record from Alexandria describes RbAlF2 after structural relaxation. The functional is GGA-PBE.

abc: 4.747 4.747 4.747
angles: 60.00 60.00 60.00
Fractional positions:
Al 0.000 0.000 0.000
F 0.750 0.750 0.750
F 0.250 0.250 0.250
Rb 0.500 0.500 0.500

Properties
The energy above the most stable polymorph in this dataset comes out at 10.57 kcal/mol of atoms. The value obtained for the magnetization is 0.0 μB per cell. The space group is Fm-3m, No. 225. The calculation puts the calculated volume at 76 Å³ per cell.



This record from Alexandria describes Pm4HoTm after structural relaxation. The functional is GGA-PBE.

abc: 6.631 6.631 6.631
angles: 60.00 60.00 60.00
Fractional positions:
Pm 0.625 0.625 0.125
Pm 0.625 0.625 0.625
Pm 0.625 0.125 0.625
Pm 0.125 0.625 0.625
Ho 0.000 0.000 0.000
Tm 0.250 0.250 0.250

Properties
The energy above the most stable polymorph in this dataset comes out at 4.74 kcal/mol of atoms. The value obtained for the magnetization is 0.0 μB per cell. The calculated formation energy comes out at 6.1 kcal/mol of atoms. The space group is F-43m, No. 216. The calculation puts the calculated volume at 206 Å³ per cell.



This record from Alexandria describes Pr7Sm4In after structural relaxation. The functional is GGA-PBE.

abc: 6.102 9.817 8.936
angles: 60.30 70.04 71.89
Fractional positions:
In 0.000 0.000 0.000
Pr 0.796 0.212 0.195
Pr 0.204 0.788 0.805
Pr 0.788 0.870 0.554
Pr 0.073 0.589 0.265
Pr 0.212 0.130 0.446
Pr 0.927 0.411 0.735
Pr 0.500 0.000 0.000
Sm 0.422 0.693 0.464
Sm 0.320 0.400 0.960
Sm 0.578 0.307 0.536
Sm 0.680 0.600 0.040

Properties
The energy above the most stable polymorph in this dataset comes out at 0.00 kcal/mol of atoms. The value obtained for the magnetization is 0.0 μB per cell. The calculated formation energy comes out at 2.8 kcal/mol of atoms. The space group is C2/m, No. 12. The calculation puts the calculated volume at 430 Å³ per cell.